Record 1
Computed, not measured: a relaxed CdAsRu2 crystal at the PBE level of DFT.

Cell lengths 6.388, 6.388, 6.388 Å; angles 90.00, 90.00, 90.00 degrees
Atoms (fractional coordinates):
Cd 0.000 0.000 0.000
Cd 0.000 0.500 0.500
Cd 0.500 0.000 0.500
Cd 0.500 0.500 0.000
As 0.250 0.250 0.250
As 0.250 0.750 0.750
As 0.750 0.250 0.750
As 0.750 0.750 0.250
Ru 0.000 0.000 0.500
Ru 0.000 0.500 0.000
Ru 0.250 0.250 0.750
Ru 0.250 0.750 0.250
Ru 0.500 0.000 0.000
Ru 0.500 0.500 0.500
Ru 0.750 0.250 0.250
Ru 0.750 0.750 0.750

## Properties
E_form = 502 meV per atom
symmetry = No. 216

---

Record 2
Computed, not measured: a relaxed Re3Os2 crystal at the PBE level of DFT.

Cell lengths 9.665, 6.058, 11.238 Å; angles 59.27, 32.60, 88.14 degrees
Atoms (fractional coordinates):
Re 0.000 0.000 0.000
Re 0.250 0.250 0.250
Re 0.383 0.459 0.805
Re 0.445 0.897 0.867
Re 0.459 0.383 0.353
Re 0.897 0.445 0.791
Os 0.319 0.768 0.598
Os 0.652 0.935 0.931
Os 0.768 0.319 0.315
Os 0.935 0.652 0.482

## Properties
E_form = 386 meV per atom
symmetry = No. 43

---

Record 3
Computed, not measured: a relaxed Ti5Ni4Ru crystal at the PBE level of DFT.

Cell lengths 3.056, 3.056, 14.836 Å; angles 90.00, 90.00, 90.00 degrees
Atoms (fractional coordinates):
Ti 0.000 0.000 0.000
Ti 0.000 0.000 0.198
Ti 0.000 0.000 0.396
Ti 0.000 0.000 0.604
Ti 0.000 0.000 0.802
Ni 0.500 0.500 0.101
Ni 0.500 0.500 0.298
Ni 0.500 0.500 0.702
Ni 0.500 0.500 0.899
Ru 0.500 0.500 0.500

## Properties
E_form = -429 meV per atom
symmetry = No. 123

---

Record 4
Computed, not measured: a relaxed Al2FeHg crystal at the PBE level of DFT.

Cell lengths 2.896, 2.896, 7.722 Å; angles 90.00, 90.00, 90.00 degrees
Atoms (fractional coordinates):
Al 0.000 0.000 0.177
Al 0.000 0.000 0.823
Fe 0.500 0.500 0.000
Hg 0.500 0.500 0.500

## Properties
E_form = -77 meV per atom
symmetry = No. 123

---

Record 5
Computed, not measured: a relaxed NbAl2Si2 crystal at the PBE level of DFT.

Cell lengths 6.685, 6.685, 3.544 Å; angles 90.00, 90.00, 90.00 degrees
Atoms (fractional coordinates):
Nb 0.000 0.000 0.000
Nb 0.500 0.500 0.000
Al 0.168 0.332 0.500
Al 0.332 0.832 0.500
Al 0.668 0.168 0.500
Al 0.832 0.668 0.500
Si 0.131 0.631 0.000
Si 0.369 0.131 0.000
Si 0.631 0.869 0.000
Si 0.869 0.369 0.000

## Properties
raw formation energy = -14 kJ per mole of atoms
symmetry = No. 127

---

Record 6
Computed, not measured: a relaxed CdInICl2 crystal at the PBE level of DFT.

Cell lengths 5.216, 5.216, 6.025 Å; angles 90.00, 90.00, 90.00 degrees
Atoms (fractional coordinates):
Cd 0.000 0.000 0.000
In 0.500 0.500 0.500
I 0.000 0.000 0.500
Cl 0.000 0.500 0.000
Cl 0.500 0.000 0.000

## Properties
raw formation energy = -72 kJ per mole of atoms
symmetry = No. 123

---

Record 7
Computed, not measured: a relaxed La4PrDy4 crystal at the PBE level of DFT.

Cell lengths 8.162, 8.162, 8.162 Å; angles 95.79, 95.79, 142.96 degrees
Atoms (fractional coordinates):
La 0.168 0.168 0.336
La 0.168 0.832 0.000
La 0.832 0.168 0.000
La 0.832 0.832 0.664
Pr 0.500 0.500 0.000
Dy 0.162 0.500 0.662
Dy 0.500 0.162 0.662
Dy 0.500 0.838 0.338
Dy 0.838 0.500 0.338

## Properties
E_form = 28 meV per atom
symmetry = No. 139

---

Record 8
Computed, not measured: a relaxed Th3TlCo crystal at the PBE level of DFT.

Cell lengths 8.222, 4.535, 8.377 Å; angles 90.00, 117.79, 90.00 degrees
Atoms (fractional coordinates):
Th 0.048 0.250 0.226
Th 0.299 0.750 0.595
Th 0.323 0.250 0.930
Th 0.677 0.750 0.070
Th 0.701 0.250 0.405
Th 0.952 0.750 0.774
Tl 0.346 0.750 0.222
Tl 0.654 0.250 0.778
Co 0.071 0.250 0.604
Co 0.929 0.750 0.396

## Properties
E_form = -152 meV per atom
symmetry = No. 11

---

Record 9
Computed, not measured: a relaxed Ce2GePd3 crystal at the PBE level of DFT.

Cell lengths 9.166, 8.645, 5.665 Å; angles 76.53, 66.52, 36.95 degrees
Atoms (fractional coordinates):
Ce 0.237 0.763 0.763
Ce 0.250 0.250 0.250
Ce 0.750 0.750 0.750
Ce 0.763 0.237 0.237
Ge 0.334 0.334 0.666
Ge 0.666 0.666 0.334
Pd 0.173 0.173 0.827
Pd 0.177 0.652 0.348
Pd 0.348 0.823 0.177
Pd 0.652 0.177 0.823
Pd 0.823 0.348 0.652
Pd 0.827 0.827 0.173

## Properties
E_form = -759 meV per atom
symmetry = No. 69

---

Record 10
Computed, not measured: a relaxed YV2Si2 crystal at the PBE level of DFT.

Cell lengths 3.851, 3.851, 11.246 Å; angles 90.00, 90.00, 90.00 degrees
Atoms (fractional coordinates):
Y 0.000 0.000 0.000
Y 0.500 0.500 0.500
V 0.000 0.500 0.250
V 0.000 0.500 0.750
V 0.500 0.000 0.250
V 0.500 0.000 0.750
Si 0.000 0.000 0.392
Si 0.000 0.000 0.608
Si 0.500 0.500 0.108
Si 0.500 0.500 0.892

## Properties
raw formation energy = -60 kJ per mole of atoms
symmetry = No. 139

---

Record 11
Computed, not measured: a relaxed PaCuB2O8 crystal at the PBE level of DFT.

Cell lengths 4.911, 4.911, 6.222 Å; angles 90.00, 90.00, 120.00 degrees
Atoms (fractional coordinates):
Pa 0.000 0.000 0.000
Cu 0.000 0.000 0.500
B 0.333 0.667 0.237
B 0.667 0.333 0.763
O 0.167 0.334 0.288
O 0.167 0.833 0.288
O 0.333 0.667 0.002
O 0.334 0.167 0.712
O 0.666 0.833 0.288
O 0.667 0.333 0.998
O 0.833 0.167 0.712
O 0.833 0.666 0.712

## Properties
raw formation energy = -173 kJ per mole of atoms
symmetry = No. 164

---

Record 12
Computed, not measured: a relaxed MnPIr2 crystal at the PBE level of DFT.

Cell lengths 3.935, 3.935, 3.510 Å; angles 90.00, 90.00, 90.00 degrees
Atoms (fractional coordinates):
Mn 0.000 0.000 0.000
P 0.500 0.500 0.000
Ir 0.000 0.500 0.500
Ir 0.500 0.000 0.500

## Properties
E_form = -46 meV per atom
symmetry = No. 123

---

Record 13
Computed, not measured: a relaxed MgCo3 crystal at the PBE level of DFT.

Cell lengths 2.626, 2.626, 25.003 Å; angles 90.00, 90.00, 120.00 degrees
Atoms (fractional coordinates):
Mg 0.000 0.000 0.000
Mg 0.333 0.667 0.667
Mg 0.667 0.333 0.333
Co 0.000 0.000 0.244
Co 0.000 0.000 0.500
Co 0.000 0.000 0.756
Co 0.333 0.667 0.167
Co 0.333 0.667 0.423
Co 0.333 0.667 0.911
Co 0.667 0.333 0.089
Co 0.667 0.333 0.577
Co 0.667 0.333 0.833

## Properties
E_form = 219 meV per atom
symmetry = No. 166

---

Record 14
Computed, not measured: a relaxed Ta2CoNi7Sn2 crystal at the PBE level of DFT.

Cell lengths 15.275, 15.275, 15.275 Å; angles 167.32, 167.32, 17.96 degrees
Atoms (fractional coordinates):
Ta 0.124 0.124 0.000
Ta 0.876 0.876 0.000
Co 0.500 0.500 0.000
Ni 0.000 0.000 0.000
Ni 0.062 0.562 0.500
Ni 0.226 0.226 0.000
Ni 0.438 0.938 0.500
Ni 0.562 0.062 0.500
Ni 0.774 0.774 0.000
Ni 0.938 0.438 0.500
Sn 0.313 0.313 0.000
Sn 0.687 0.687 0.000

## Properties
E_form = 59 meV per atom
symmetry = No. 139

---

Record 15
Computed, not measured: a relaxed Mn2V4As crystal at the PBE level of DFT.

Cell lengths 4.445, 4.445, 12.142 Å; angles 90.00, 90.00, 90.00 degrees
Atoms (fractional coordinates):
Mn 0.000 0.000 0.120
Mn 0.000 0.000 0.880
Mn 0.500 0.500 0.380
Mn 0.500 0.500 0.620
V 0.000 0.000 0.299
V 0.000 0.000 0.701
V 0.000 0.500 0.000
V 0.000 0.500 0.500
V 0.500 0.000 0.000
V 0.500 0.000 0.500
V 0.500 0.500 0.201
V 0.500 0.500 0.799
As 0.000 0.000 0.500
As 0.500 0.500 0.000

## Properties
E_form = 756 meV per atom
symmetry = No. 139

---

Record 16
Computed, not measured: a relaxed PRh2Se crystal at the PBE level of DFT.

Cell lengths 4.356, 4.356, 3.099 Å; angles 90.00, 90.00, 90.00 degrees
Atoms (fractional coordinates):
P 0.000 0.000 0.000
Rh 0.000 0.500 0.500
Rh 0.500 0.000 0.500
Se 0.500 0.500 0.000

## Properties
raw formation energy = -1 kJ per mole of atoms
symmetry = No. 123

---

Record 17
Computed, not measured: a relaxed CsRb2YF6 crystal at the PBE level of DFT.

Cell lengths 7.044, 7.044, 7.044 Å; angles 60.00, 60.00, 60.00 degrees
Atoms (fractional coordinates):
Cs 0.000 0.000 0.000
Rb 0.250 0.250 0.250
Rb 0.750 0.750 0.750
Y 0.500 0.500 0.500
F 0.281 0.281 0.719
F 0.281 0.719 0.281
F 0.281 0.719 0.719
F 0.719 0.281 0.281
F 0.719 0.281 0.719
F 0.719 0.719 0.281

## Properties
raw formation energy = -313 kJ per mole of atoms
symmetry = No. 225

---

Record 18
Computed, not measured: a relaxed Sc4TlPt crystal at the PBE level of DFT.

Cell lengths 4.641, 4.641, 6.913 Å; angles 90.00, 90.00, 90.00 degrees
Atoms (fractional coordinates):
Sc 0.000 0.500 0.225
Sc 0.000 0.500 0.775
Sc 0.500 0.000 0.225
Sc 0.500 0.000 0.775
Tl 0.000 0.000 0.500
Pt 0.500 0.500 0.000

## Properties
E_form = -429 meV per atom
symmetry = No. 123

---

Record 19
Computed, not measured: a relaxed BiRuCl3 crystal at the PBE level of DFT.

Cell lengths 4.812, 4.812, 4.812 Å; angles 90.00, 90.00, 90.00 degrees
Atoms (fractional coordinates):
Bi 0.000 0.000 0.000
Ru 0.500 0.500 0.500
Cl 0.000 0.500 0.500
Cl 0.500 0.000 0.500
Cl 0.500 0.500 0.000

## Properties
raw formation energy = 8 kJ per mole of atoms
symmetry = No. 221

---

Record 20
Computed, not measured: a relaxed BePbN2F crystal at the PBE level of DFT.

Cell lengths 4.299, 4.299, 4.320 Å; angles 90.00, 90.00, 90.00 degrees
Atoms (fractional coordinates):
Be 0.000 0.000 0.000
Pb 0.500 0.500 0.500
N 0.000 0.500 0.500
N 0.500 0.000 0.500
F 0.500 0.500 0.000

## Properties
raw formation energy = 129 kJ per mole of atoms
symmetry = No. 123

---

Record 21
Computed, not measured: a relaxed Pu2SnSe4 crystal at the PBE level of DFT.

Cell lengths 7.098, 7.098, 14.129 Å; angles 90.00, 90.00, 146.02 degrees
Atoms (fractional coordinates):
Pu 0.135 0.865 0.566
Pu 0.135 0.865 0.934
Pu 0.865 0.135 0.066
Pu 0.865 0.135 0.434
Sn 0.394 0.606 0.750
Sn 0.606 0.394 0.250
Se 0.041 0.959 0.750
Se 0.230 0.770 0.117
Se 0.230 0.770 0.383
Se 0.500 0.500 0.000
Se 0.500 0.500 0.500
Se 0.770 0.230 0.617
Se 0.770 0.230 0.883
Se 0.959 0.041 0.250

## Properties
raw formation energy = -107 kJ per mole of atoms
symmetry = No. 63

---

Record 22
Computed, not measured: a relaxed Pm2Y7Th crystal at the PBE level of DFT.

Cell lengths 9.896, 9.896, 5.074 Å; angles 90.00, 90.00, 128.06 degrees
Atoms (fractional coordinates):
Pm 0.201 0.799 0.000
Pm 0.799 0.201 0.000
Y 0.000 0.000 0.000
Y 0.214 0.424 0.000
Y 0.306 0.694 0.500
Y 0.424 0.214 0.000
Y 0.576 0.786 0.000
Y 0.694 0.306 0.500
Y 0.786 0.576 0.000
Th 0.500 0.500 0.500

## Properties
E_form = 714 meV per atom
symmetry = No. 65

---

Record 23
Computed, not measured: a relaxed MgTc2Ag crystal at the PBE level of DFT.

Cell lengths 8.925, 2.772, 5.217 Å; angles 90.00, 95.77, 90.00 degrees
Atoms (fractional coordinates):
Mg 0.000 0.000 0.000
Mg 0.500 0.500 0.000
Tc 0.247 0.000 0.697
Tc 0.493 0.000 0.521
Tc 0.747 0.500 0.697
Tc 0.993 0.500 0.521
Ag 0.249 0.500 0.208
Ag 0.749 0.000 0.208

## Properties
E_form = 260 meV per atom
symmetry = No. 8

---

Record 24
Computed, not measured: a relaxed Sm4TlTe crystal at the PBE level of DFT.

Cell lengths 7.518, 4.754, 21.479 Å; angles 90.00, 90.00, 90.00 degrees
Atoms (fractional coordinates):
Sm 0.055 0.250 0.078
Sm 0.072 0.250 0.359
Sm 0.083 0.250 0.783
Sm 0.142 0.250 0.529
Sm 0.358 0.750 0.029
Sm 0.417 0.750 0.283
Sm 0.428 0.750 0.859
Sm 0.445 0.750 0.578
Sm 0.555 0.250 0.422
Sm 0.572 0.250 0.141
Sm 0.583 0.250 0.717
Sm 0.642 0.250 0.971
Sm 0.858 0.750 0.471
Sm 0.917 0.750 0.217
Sm 0.928 0.750 0.641
Sm 0.945 0.750 0.922
Tl 0.215 0.250 0.930
Tl 0.285 0.750 0.430
Tl 0.715 0.250 0.570
Tl 0.785 0.750 0.070
Te 0.205 0.250 0.216
Te 0.295 0.750 0.716
Te 0.705 0.250 0.284
Te 0.795 0.750 0.784

## Properties
raw formation energy = -52 kJ per mole of atoms
symmetry = No. 62

---

Looking at DFT total energy for the records above, in order, we have -5.527, -11.575, -7.617, -4.140, -5.823, -2.527, -4.738, -6.498, -6.103, -7.735, -7.339, -8.121, -5.509, -6.548, -7.739, -5.914, -5.288, -6.051, -3.653, -3.856, -7.770, -5.503, -6.034, -4.605 eV per atom.
Looking at V for the records above, in order, we have 16.296, 15.570, 13.857, 16.189, 15.840, 32.788, 34.515, 27.633, 20.376, 16.675, 10.833, 13.588, 12.444, 14.300, 17.135, 14.698, 24.713, 24.820, 22.283, 15.965, 28.420, 39.129, 16.051, 31.983 Å³/atom.